# 1
! RbBiI2F (GGA-PBE, optimized geometry); values from VASP
! SG   P4/mmm
! Uncorrected formation energy   -1.2208 eV/atom
! Magnetic moment   0.5 μB/f.u.
&SYSTEM
  ibrav = 0, nat = 5, ntyp = 4
/
ATOMIC_SPECIES
Rb 85.47 Rb.upf
Bi 208.98 Bi.upf
I 126.90 I.upf
F 19.00 F.upf
CELL_PARAMETERS angstrom
-3.201 -2.821 4.940
0.752 -5.829 -2.841
4.009 -0.586 2.263
ATOMIC_POSITIONS crystal
Rb 0.500 0.500 0.500
Bi 0.000 0.000 0.000
I 0.000 0.500 0.000
I 0.500 0.000 0.000
F 0.000 0.000 0.500

# 2
! Rb2BiI6F (GGA-PBE, optimized geometry); values from VASP
! SG   I4/mmm
! Uncorrected formation energy   -0.8079 eV/atom
! Magnetic moment   0.0 μB/f.u.
&SYSTEM
  ibrav = 0, nat = 10, ntyp = 4
/
ATOMIC_SPECIES
Rb 85.47 Rb.upf
I 126.90 I.upf
F 19.00 F.upf
Bi 208.98 Bi.upf
CELL_PARAMETERS angstrom
8.026 0.000 0.000
0.000 8.026 0.000
4.013 4.013 6.608
ATOMIC_POSITIONS crystal
Rb 0.750 0.250 0.500
Rb 0.250 0.750 0.500
I 0.233 0.233 0.533
I 0.767 0.767 0.467
I 0.264 0.736 0.000
I 0.736 0.264 0.000
I 0.736 0.736 0.000
I 0.264 0.264 0.000
F 0.500 0.500 0.000
Bi 0.000 0.000 0.000

# 3
! BiSe2IF (GGA-PBE, optimized geometry); values from VASP
! SG   P4/mmm
! Uncorrected formation energy   0.6469 eV/atom
! Magnetic moment   0.6 μB/f.u.
&SYSTEM
  ibrav = 0, nat = 5, ntyp = 4
/
ATOMIC_SPECIES
Se 78.96 Se.upf
I 126.90 I.upf
Bi 208.98 Bi.upf
F 19.00 F.upf
CELL_PARAMETERS angstrom
-3.133 4.202 0.888
0.062 -1.233 6.058
4.295 3.078 0.583
ATOMIC_POSITIONS crystal
Se 0.500 0.000 0.000
Se 0.000 0.000 0.500
I 0.000 0.000 0.000
Bi 0.000 0.500 0.000
F 0.500 0.500 0.500

# 4
! SnBiIF2 (GGA-PBE, optimized geometry); values from VASP
! SG   P4/mmm
! Uncorrected formation energy   -1.2759 eV/atom
! Magnetic moment   0.0 μB/f.u.
&SYSTEM
  ibrav = 0, nat = 5, ntyp = 4
/
ATOMIC_SPECIES
I 126.90 I.upf
Bi 208.98 Bi.upf
Sn 118.71 Sn.upf
F 19.00 F.upf
CELL_PARAMETERS angstrom
-3.233 -1.130 2.977
1.542 -4.267 0.056
3.881 1.465 4.771
ATOMIC_POSITIONS crystal
I 0.500 0.500 0.500
Bi 0.000 0.000 0.500
Sn 0.000 0.000 0.000
F 0.000 0.500 0.000
F 0.500 0.000 0.000

# 5
! BiTeI2F (GGA-PBE, optimized geometry); values from VASP
! Energy above the most stable polymorph in this dataset   142 meV per atom
! SG   P4/mmm
! Uncorrected formation energy   0.0840 eV/atom
! Magnetic moment   2.0 μB/f.u.
&SYSTEM
  ibrav = 0, nat = 5, ntyp = 4
/
ATOMIC_SPECIES
F 19.00 F.upf
Bi 208.98 Bi.upf
I 126.90 I.upf
Te 127.60 Te.upf
CELL_PARAMETERS angstrom
6.049 0.000 0.000
0.000 6.049 0.000
0.000 0.000 6.262
ATOMIC_POSITIONS crystal
F 0.500 0.500 0.500
Bi 0.000 0.000 0.000
I 0.000 0.500 0.000
I 0.500 0.000 0.000
Te 0.000 0.000 0.500

# 6
! BiTe2IF (GGA-PBE, optimized geometry); values from VASP
! Energy above the most stable polymorph in this dataset   0 meV per atom
! SG   P4/mmm
! Uncorrected formation energy   -0.0434 eV/atom
! Magnetic moment   0.0 μB/f.u.
&SYSTEM
  ibrav = 0, nat = 5, ntyp = 4
/
ATOMIC_SPECIES
Te 127.60 Te.upf
Bi 208.98 Bi.upf
I 126.90 I.upf
F 19.00 F.upf
CELL_PARAMETERS angstrom
4.790 0.000 0.000
0.000 4.790 0.000
0.000 0.000 6.235
ATOMIC_POSITIONS crystal
Te 0.500 0.000 0.000
Te 0.000 0.500 0.000
Bi 0.500 0.500 0.500
I 0.000 0.000 0.500
F 0.000 0.000 0.000

# 7
! BiTe2IF (GGA-PBE, optimized geometry); values from VASP
! Energy above the most stable polymorph in this dataset   341 meV per atom
! SG   P4/mmm
! Uncorrected formation energy   0.2977 eV/atom
! Magnetic moment   3.0 μB/f.u.
&SYSTEM
  ibrav = 0, nat = 5, ntyp = 4
/
ATOMIC_SPECIES
Te 127.60 Te.upf
I 126.90 I.upf
F 19.00 F.upf
Bi 208.98 Bi.upf
CELL_PARAMETERS angstrom
6.101 0.000 0.000
0.000 6.101 0.000
0.000 0.000 6.062
ATOMIC_POSITIONS crystal
Te 0.000 0.500 0.000
Te 0.500 0.000 0.000
I 0.000 0.000 0.500
F 0.500 0.500 0.500
Bi 0.000 0.000 0.000

# 8
! BiTeI2F (GGA-PBE, optimized geometry); values from VASP
! Energy above the most stable polymorph in this dataset   0 meV per atom
! SG   P4/mmm
! Uncorrected formation energy   -0.0578 eV/atom
! Magnetic moment   0.4 μB/f.u.
&SYSTEM
  ibrav = 0, nat = 5, ntyp = 4
/
ATOMIC_SPECIES
Te 127.60 Te.upf
Bi 208.98 Bi.upf
I 126.90 I.upf
F 19.00 F.upf
CELL_PARAMETERS angstrom
5.992 0.000 0.000
0.000 5.992 0.000
0.000 0.000 4.254
ATOMIC_POSITIONS crystal
Te 0.000 0.000 0.500
Bi 0.500 0.500 0.500
I 0.500 0.000 0.000
I 0.000 0.500 0.000
F 0.000 0.000 0.000

# 9
! TlBiI2F (GGA-PBE, optimized geometry); values from VASP
! SG   P4/mmm
! Uncorrected formation energy   -0.8477 eV/atom
! Magnetic moment   0.4 μB/f.u.
&SYSTEM
  ibrav = 0, nat = 5, ntyp = 4
/
ATOMIC_SPECIES
F 19.00 F.upf
Bi 208.98 Bi.upf
I 126.90 I.upf
Tl 204.38 Tl.upf
CELL_PARAMETERS angstrom
-2.312 -6.032 -0.270
5.010 -2.077 3.519
-2.392 0.744 3.844
ATOMIC_POSITIONS crystal
F 0.000 0.000 0.500
Bi 0.000 0.000 0.000
I 0.500 0.000 0.000
I 0.000 0.500 0.000
Tl 0.500 0.500 0.500

# 10
! Zr2BiIF (GGA-PBE, optimized geometry); values from VASP
! SG   P4/mmm
! Uncorrected formation energy   -0.2262 eV/atom
! Magnetic moment   0.0 μB/f.u.
&SYSTEM
  ibrav = 0, nat = 5, ntyp = 4
/
ATOMIC_SPECIES
F 19.00 F.upf
I 126.90 I.upf
Zr 91.22 Zr.upf
Bi 208.98 Bi.upf
CELL_PARAMETERS angstrom
-3.397 -2.099 2.418
-1.460 -2.739 -4.429
2.944 -3.435 1.154
ATOMIC_POSITIONS crystal
F 0.000 0.000 0.000
I 0.500 0.500 0.500
Zr 0.500 0.000 0.000
Zr 0.000 0.000 0.500
Bi 0.000 0.500 0.000

# 11
! In12Bi3F5 (GGA-PBE, optimized geometry); values from VASP
! SG   Ia-3d
! Uncorrected formation energy   -0.6627 eV/atom
! Magnetic moment   0.0 μB/f.u.
&SYSTEM
  ibrav = 0, nat = 80, ntyp = 3
/
ATOMIC_SPECIES
In 114.82 In.upf
Bi 208.98 Bi.upf
F 19.00 F.upf
CELL_PARAMETERS angstrom
-10.558 3.093 -9.366
2.761 -14.177 -0.365
-4.128 3.762 13.325
ATOMIC_POSITIONS crystal
In 0.319 0.802 0.408
In 0.483 0.681 0.090
In 0.517 0.198 0.107
In 0.483 0.802 0.893
In 0.908 0.819 0.802
In 0.893 0.592 0.910
In 0.910 0.819 0.517
In 0.681 0.198 0.592
In 0.090 0.908 0.107
In 0.090 0.181 0.483
In 0.517 0.319 0.910
In 0.592 0.893 0.410
In 0.698 0.592 0.181
In 0.198 0.517 0.607
In 0.092 0.910 0.393
In 0.410 0.017 0.319
In 0.319 0.517 0.410
In 0.302 0.408 0.819
In 0.802 0.319 0.908
In 0.908 0.090 0.607
In 0.893 0.302 0.483
In 0.592 0.698 0.681
In 0.983 0.393 0.302
In 0.910 0.092 0.893
In 0.107 0.408 0.090
In 0.302 0.893 0.983
In 0.819 0.910 0.017
In 0.408 0.302 0.319
In 0.802 0.483 0.393
In 0.983 0.590 0.181
In 0.681 0.483 0.590
In 0.819 0.908 0.302
In 0.092 0.181 0.198
In 0.107 0.698 0.517
In 0.607 0.590 0.908
In 0.198 0.681 0.092
In 0.590 0.607 0.408
In 0.017 0.410 0.819
In 0.590 0.983 0.681
In 0.181 0.092 0.698
In 0.181 0.090 0.983
In 0.410 0.393 0.592
In 0.607 0.017 0.198
In 0.698 0.107 0.017
In 0.408 0.107 0.590
In 0.017 0.607 0.698
In 0.393 0.410 0.092
In 0.393 0.983 0.802
Bi 0.125 0.875 0.750
Bi 0.750 0.375 0.125
Bi 0.375 0.625 0.250
Bi 0.625 0.375 0.750
Bi 0.750 0.875 0.625
Bi 0.625 0.250 0.375
Bi 0.875 0.125 0.250
Bi 0.250 0.125 0.375
Bi 0.250 0.625 0.875
Bi 0.125 0.250 0.875
Bi 0.375 0.750 0.625
Bi 0.875 0.750 0.125
F 0.500 0.500 0.500
F 0.875 0.625 0.750
F 0.375 0.250 0.125
F 0.125 0.375 0.250
F 0.250 0.375 0.625
F 0.875 0.250 0.625
F 0.625 0.875 0.250
F 0.000 0.500 0.000
F 0.125 0.750 0.375
F 0.000 0.000 0.500
F 0.500 0.000 0.000
F 0.500 0.000 0.500
F 0.500 0.500 0.000
F 0.750 0.125 0.875
F 0.250 0.875 0.125
F 0.750 0.625 0.375
F 0.000 0.500 0.500
F 0.000 0.000 0.000
F 0.625 0.750 0.875
F 0.375 0.125 0.750

# 12
! InBi3F (GGA-PBE, optimized geometry); values from VASP
! Energy above the most stable polymorph in this dataset   0 meV per atom
! SG   Pm-3m
! Uncorrected formation energy   -0.2767 eV/atom
! Magnetic moment   0.0 μB/f.u.
&SYSTEM
  ibrav = 0, nat = 5, ntyp = 3
/
ATOMIC_SPECIES
In 114.82 In.upf
Bi 208.98 Bi.upf
F 19.00 F.upf
CELL_PARAMETERS angstrom
5.183 0.000 0.000
0.000 5.183 0.000
0.000 0.000 5.183
ATOMIC_POSITIONS crystal
In 0.500 0.500 0.500
Bi 0.000 0.500 0.000
Bi 0.000 0.000 0.500
Bi 0.500 0.000 0.000
F 0.000 0.000 0.000

Look up the magnetic moment of the eleventh one.
0.0 μB/f.u.

What is the formula in the first record?
RbBiI2F

Look up the uncorrected formation energy of the eleventh one.
-0.6627 eV/atom